(1)
## Sc2HSe (PBE)

Data for a geometry-optimized Sc2HSe structure.

Summary:
Symmetry: No. 31
V in Å³/cell: 134.1
Excess energy over the best structure of this formula in the dataset in eV/atom: 0.000
D(E_F) in states/eV/cell: 4.1

Structure (POSCAR):
```
Sc2HSe
1.0
3.694 0.000 0.000
0.000 9.007 0.000
0.000 0.000 4.030
Sc H Se
4 2 2
direct
0.000 0.075 0.000
0.000 0.697 0.995
0.500 0.303 0.495
0.500 0.925 0.500
0.000 0.887 0.724
0.500 0.113 0.224
0.000 0.373 0.996
0.500 0.627 0.496
```

(2)
## Tb3Dy5Er4 (PBE)

Data for a geometry-optimized Tb3Dy5Er4 structure.

Summary:
Energy relative to the elements in meV per atom: 245
Symmetry: No. 12
V in Å³/cell: 381.6
Excess energy over the best structure of this formula in the dataset in eV/atom: 0.227
D(E_F) in states/eV/cell: 19.3

Structure (POSCAR):
```
Tb3Dy5Er4
1.0
7.958 -2.913 0.000
7.958 2.913 0.000
-4.088 0.000 8.231
Tb Dy Er
3 5 4
direct
0.000 0.000 0.000
0.292 0.292 0.770
0.708 0.708 0.230
0.074 0.074 0.699
0.173 0.173 0.387
0.500 0.500 0.000
0.827 0.827 0.613
0.926 0.926 0.301
0.287 0.287 0.122
0.419 0.419 0.560
0.581 0.581 0.440
0.713 0.713 0.878
```

(3)
## NaMg6Fe (PBE)

Data for a geometry-optimized NaMg6Fe structure.

Summary:
Energy relative to the elements in meV per atom: 221
Symmetry: No. 38
V in Å³/cell: 172.5
D(E_F) in states/eV/cell: 5.6

Structure (POSCAR):
```
NaMg6Fe
1.0
4.992 0.000 0.000
0.000 3.196 5.407
0.000 -3.196 5.407
Na Mg Fe
1 6 1
direct
0.000 0.000 0.000
0.000 0.502 0.502
0.000 0.523 0.991
0.000 0.991 0.523
0.500 0.327 0.327
0.500 0.335 0.826
0.500 0.826 0.335
0.500 0.810 0.810
```

- Which of these has the highest V?
  Tb3Dy5Er4

- Which value of D(E_F) does entry 3 give?
  5.6 states/eV/cell

- Among the records above, which one has the lowest V?
  Sc2HSe

What did the third record say?
## NaMg6Fe (PBE)

Data for a geometry-optimized NaMg6Fe structure.

Summary:
Energy relative to the elements in meV per atom: 221
Symmetry: No. 38
V in Å³/cell: 172.5
D(E_F) in states/eV/cell: 5.6

Structure (POSCAR):
```
NaMg6Fe
1.0
4.992 0.000 0.000
0.000 3.196 5.407
0.000 -3.196 5.407
Na Mg Fe
1 6 1
direct
0.000 0.000 0.000
0.000 0.502 0.502
0.000 0.523 0.991
0.000 0.991 0.523
0.500 0.327 0.327
0.500 0.335 0.826
0.500 0.826 0.335
0.500 0.810 0.810
```